Record 1
A plane-wave DFT calculation with PBE was carried out for crystalline YHgBr2 at its relaxed geometry. Values from VASP.

## Properties
- SG: I-42d, No. 122
- Energy above the most stable polymorph in this dataset: 0.47 eV/f.u.
- Uncorrected formation energy: -4.26 eV/f.u.

Structure (Quantum ESPRESSO input):
```
&SYSTEM
  ibrav = 0, nat = 8, ntyp = 3
/
ATOMIC_SPECIES
Y 88.91 Y.upf
Hg 200.59 Hg.upf
Br 79.90 Br.upf
CELL_PARAMETERS angstrom
-4.887 4.887 3.171
4.887 -4.887 3.171
4.887 4.887 -3.171
ATOMIC_POSITIONS crystal
Y 0.000 0.000 0.000
Y 0.750 0.250 0.500
Hg 0.250 0.750 0.500
Hg 0.500 0.500 0.000
Br 0.375 0.003 0.128
Br 0.753 0.625 0.628
Br 0.875 0.247 0.872
Br 0.997 0.125 0.372
```



Record 2
A plane-wave DFT calculation with PBE was carried out for crystalline Tb7Si2Pb2 at its relaxed geometry. Values from VASP.

## Properties
- SG: Cmmm, No. 65
- Uncorrected formation energy: -3.40 eV/f.u.

Structure (Quantum ESPRESSO input):
```
&SYSTEM
  ibrav = 0, nat = 11, ntyp = 3
/
ATOMIC_SPECIES
Tb 158.93 Tb.upf
Si 28.09 Si.upf
Pb 207.20 Pb.upf
CELL_PARAMETERS angstrom
4.297 -5.479 0.000
4.297 5.479 0.000
0.000 0.000 6.990
ATOMIC_POSITIONS crystal
Tb 0.000 0.000 0.000
Tb 0.000 0.500 0.260
Tb 0.000 0.500 0.740
Tb 0.500 0.000 0.260
Tb 0.500 0.000 0.740
Tb 0.500 0.500 0.240
Tb 0.500 0.500 0.760
Si 0.274 0.726 0.000
Si 0.726 0.274 0.000
Pb 0.185 0.185 0.500
Pb 0.815 0.815 0.500
```



Record 3
A plane-wave DFT calculation with PBE was carried out for crystalline Pr2HoEr6Tm3 at its relaxed geometry. Values from VASP.

## Properties
- SG: C2/m, No. 12
- Energy of formation: 0.29 eV per formula unit

Structure (Quantum ESPRESSO input):
```
&SYSTEM
  ibrav = 0, nat = 12, ntyp = 4
/
ATOMIC_SPECIES
Pr 140.91 Pr.upf
Ho 164.93 Ho.upf
Er 167.26 Er.upf
Tm 168.93 Tm.upf
CELL_PARAMETERS angstrom
3.066 -5.306 0.000
3.066 5.306 0.000
-2.039 0.000 11.528
ATOMIC_POSITIONS crystal
Pr 0.167 0.833 0.000
Pr 0.833 0.167 0.000
Ho 0.500 0.500 0.000
Er 0.082 0.414 0.746
Er 0.253 0.253 0.255
Er 0.414 0.082 0.746
Er 0.586 0.918 0.254
Er 0.747 0.747 0.745
Er 0.918 0.586 0.254
Tm 0.000 0.000 0.500
Tm 0.334 0.666 0.500
Tm 0.666 0.334 0.500
```



Record 4
A plane-wave DFT calculation with PBE was carried out for crystalline RbNa2CaHf at its relaxed geometry. Values from VASP.

## Properties
- SG: P4/mmm, No. 123
- Energy of formation: 7.28 eV per formula unit

Structure (Quantum ESPRESSO input):
```
&SYSTEM
  ibrav = 0, nat = 5, ntyp = 4
/
ATOMIC_SPECIES
Rb 85.47 Rb.upf
Na 22.99 Na.upf
Ca 40.08 Ca.upf
Hf 178.49 Hf.upf
CELL_PARAMETERS angstrom
6.167 0.000 0.000
0.000 6.167 0.000
0.000 0.000 6.696
ATOMIC_POSITIONS crystal
Rb 0.000 0.000 0.000
Na 0.000 0.500 0.500
Na 0.500 0.000 0.500
Ca 0.000 0.000 0.500
Hf 0.500 0.500 0.000
```



Record 5
A plane-wave DFT calculation with PBE was carried out for crystalline CS at its relaxed geometry. Values from VASP.

## Properties
- SG: Pm-3n, No. 223
- Energy above the most stable polymorph in this dataset: 1.78 eV/f.u.
- Uncorrected formation energy: 4.23 eV/f.u.

Structure (Quantum ESPRESSO input):
```
&SYSTEM
  ibrav = 0, nat = 12, ntyp = 2
/
ATOMIC_SPECIES
C 12.01 C.upf
S 32.06 S.upf
CELL_PARAMETERS angstrom
5.724 0.000 0.000
0.000 5.724 0.000
0.000 0.000 5.724
ATOMIC_POSITIONS crystal
C 0.000 0.250 0.500
C 0.000 0.750 0.500
C 0.250 0.500 0.000
C 0.500 0.000 0.250
C 0.500 0.000 0.750
C 0.750 0.500 0.000
S 0.000 0.500 0.250
S 0.000 0.500 0.750
S 0.250 0.000 0.500
S 0.500 0.250 0.000
S 0.500 0.750 0.000
S 0.750 0.000 0.500
```



Record 6
A plane-wave DFT calculation with PBE was carried out for crystalline Sc2CuTeO6 at its relaxed geometry. Values from VASP.

## Properties
- SG: R3, No. 146
- Uncorrected formation energy: -20.52 eV/f.u.

Structure (Quantum ESPRESSO input):
```
&SYSTEM
  ibrav = 0, nat = 10, ntyp = 4
/
ATOMIC_SPECIES
Sc 44.96 Sc.upf
Cu 63.55 Cu.upf
Te 127.60 Te.upf
O 16.00 O.upf
CELL_PARAMETERS angstrom
2.719 1.570 4.849
-2.719 1.570 4.849
0.000 -3.140 4.849
ATOMIC_POSITIONS crystal
Sc 0.000 0.000 0.000
Sc 0.495 0.495 0.495
Cu 0.208 0.208 0.208
Te 0.701 0.701 0.701
O 0.108 0.399 0.795
O 0.308 0.887 0.619
O 0.399 0.795 0.108
O 0.619 0.308 0.887
O 0.795 0.108 0.399
O 0.887 0.619 0.308
```



Record 7
A plane-wave DFT calculation with PBE was carried out for crystalline CaBr at its relaxed geometry. Values from VASP.

## Properties
- SG: I-43m, No. 217
- Uncorrected formation energy: -2.14 eV/f.u.

Structure (Quantum ESPRESSO input):
```
&SYSTEM
  ibrav = 0, nat = 8, ntyp = 2
/
ATOMIC_SPECIES
Ca 40.08 Ca.upf
Br 79.90 Br.upf
CELL_PARAMETERS angstrom
-4.556 4.556 4.556
4.556 -4.556 4.556
4.556 4.556 -4.556
ATOMIC_POSITIONS crystal
Ca 0.000 0.000 0.633
Ca 0.000 0.633 0.000
Ca 0.367 0.367 0.367
Ca 0.633 0.000 0.000
Br 0.000 0.000 0.281
Br 0.000 0.281 0.000
Br 0.281 0.000 0.000
Br 0.719 0.719 0.719
```



Record 8
A plane-wave DFT calculation with PBE was carried out for crystalline MnFeTe4 at its relaxed geometry. Values from VASP.

## Properties
- SG: F-43m, No. 216
- Uncorrected formation energy: 6.42 eV/f.u.

Structure (Quantum ESPRESSO input):
```
&SYSTEM
  ibrav = 0, nat = 6, ntyp = 3
/
ATOMIC_SPECIES
Mn 54.94 Mn.upf
Fe 55.84 Fe.upf
Te 127.60 Te.upf
CELL_PARAMETERS angstrom
0.000 4.432 4.432
4.432 0.000 4.432
4.432 4.432 0.000
ATOMIC_POSITIONS crystal
Mn 0.000 0.000 0.000
Fe 0.250 0.250 0.250
Te 0.125 0.625 0.625
Te 0.625 0.125 0.625
Te 0.625 0.625 0.125
Te 0.625 0.625 0.625
```



Record 9
A plane-wave DFT calculation with PBE was carried out for crystalline NaHg2Au at its relaxed geometry. Values from VASP.

## Properties
- SG: P4/mmm, No. 123
- Energy of formation: -0.56 eV per formula unit

Structure (Quantum ESPRESSO input):
```
&SYSTEM
  ibrav = 0, nat = 4, ntyp = 3
/
ATOMIC_SPECIES
Na 22.99 Na.upf
Hg 200.59 Hg.upf
Au 196.97 Au.upf
CELL_PARAMETERS angstrom
3.609 0.000 0.000
0.000 3.609 0.000
0.000 0.000 7.049
ATOMIC_POSITIONS crystal
Na 0.000 0.000 0.000
Hg 0.500 0.500 0.267
Hg 0.500 0.500 0.733
Au 0.000 0.000 0.500
```



Record 10
A plane-wave DFT calculation with PBE was carried out for crystalline LaPm4PrS8 at its relaxed geometry. Values from VASP.

## Properties
- SG: R3m, No. 160
- Uncorrected formation energy: -27.08 eV/f.u.

Structure (Quantum ESPRESSO input):
```
&SYSTEM
  ibrav = 0, nat = 14, ntyp = 4
/
ATOMIC_SPECIES
La 138.91 La.upf
Pm 145.00 Pm.upf
Pr 140.91 Pr.upf
S 32.06 S.upf
CELL_PARAMETERS angstrom
4.165 2.405 6.832
-4.165 2.405 6.832
0.000 -4.810 6.832
ATOMIC_POSITIONS crystal
La 0.000 0.000 0.000
Pm 0.128 0.625 0.625
Pm 0.251 0.251 0.251
Pm 0.625 0.128 0.625
Pm 0.625 0.625 0.128
Pr 0.625 0.625 0.625
S 0.380 0.380 0.856
S 0.380 0.856 0.380
S 0.383 0.383 0.383
S 0.404 0.868 0.868
S 0.856 0.380 0.380
S 0.865 0.865 0.865
S 0.868 0.404 0.868
S 0.868 0.868 0.404
```



Record 11
A plane-wave DFT calculation with PBE was carried out for crystalline ZnInS2 at its relaxed geometry. Values from VASP.

## Properties
- SG: R-3m, No. 166
- Uncorrected formation energy: -1.13 eV/f.u.

Structure (Quantum ESPRESSO input):
```
&SYSTEM
  ibrav = 0, nat = 4, ntyp = 3
/
ATOMIC_SPECIES
Zn 65.41 Zn.upf
In 114.82 In.upf
S 32.06 S.upf
CELL_PARAMETERS angstrom
2.120 1.224 7.121
-2.120 1.224 7.121
0.000 -2.448 7.121
ATOMIC_POSITIONS crystal
Zn 0.000 0.000 0.000
In 0.500 0.500 0.500
S 0.101 0.101 0.101
S 0.899 0.899 0.899
```



Record 12
A plane-wave DFT calculation with PBE was carried out for crystalline La2PmGaN at its relaxed geometry. Values from VASP.

## Properties
- SG: P4/mmm, No. 123
- Uncorrected formation energy: -4.16 eV/f.u.

Structure (Quantum ESPRESSO input):
```
&SYSTEM
  ibrav = 0, nat = 5, ntyp = 4
/
ATOMIC_SPECIES
La 138.91 La.upf
Pm 145.00 Pm.upf
Ga 69.72 Ga.upf
N 14.01 N.upf
CELL_PARAMETERS angstrom
5.050 0.000 0.000
0.000 5.050 0.000
0.000 0.000 4.976
ATOMIC_POSITIONS crystal
La 0.000 0.500 0.000
La 0.500 0.000 0.000
Pm 0.000 0.000 0.500
Ga 0.500 0.500 0.500
N 0.000 0.000 0.000
```



Record 13
A plane-wave DFT calculation with PBE was carried out for crystalline MnTcRh2 at its relaxed geometry. Values from VASP.

## Properties
- SG: P4/mmm, No. 123
- Energy above the most stable polymorph in this dataset: 0.84 eV/f.u.
- Energy of formation: 0.44 eV per formula unit

Structure (Quantum ESPRESSO input):
```
&SYSTEM
  ibrav = 0, nat = 4, ntyp = 3
/
ATOMIC_SPECIES
Mn 54.94 Mn.upf
Tc 98.00 Tc.upf
Rh 102.91 Rh.upf
CELL_PARAMETERS angstrom
4.555 0.000 0.000
0.000 4.555 0.000
0.000 0.000 2.804
ATOMIC_POSITIONS crystal
Mn 0.000 0.000 0.000
Tc 0.500 0.500 0.000
Rh 0.000 0.500 0.500
Rh 0.500 0.000 0.500
```



Record 14
A plane-wave DFT calculation with PBE was carried out for crystalline MnBe17Ir at its relaxed geometry. Values from VASP.

## Properties
- SG: R3m, No. 160
- Energy of formation: -2.89 eV per formula unit

Structure (Quantum ESPRESSO input):
```
&SYSTEM
  ibrav = 0, nat = 19, ntyp = 3
/
ATOMIC_SPECIES
Mn 54.94 Mn.upf
Be 9.01 Be.upf
Ir 192.22 Ir.upf
CELL_PARAMETERS angstrom
3.592 2.074 3.533
-3.592 2.074 3.533
0.000 -4.148 3.533
ATOMIC_POSITIONS crystal
Mn 0.000 0.000 0.000
Be 0.014 0.014 0.495
Be 0.014 0.495 0.014
Be 0.158 0.669 0.669
Be 0.314 0.314 0.816
Be 0.314 0.816 0.314
Be 0.357 0.663 0.969
Be 0.357 0.969 0.663
Be 0.495 0.014 0.014
Be 0.562 0.562 0.562
Be 0.663 0.357 0.969
Be 0.663 0.969 0.357
Be 0.669 0.158 0.669
Be 0.669 0.669 0.158
Be 0.765 0.765 0.765
Be 0.816 0.314 0.314
Be 0.969 0.357 0.663
Be 0.969 0.663 0.357
Ir 0.329 0.329 0.329
```



Record 15
A plane-wave DFT calculation with PBE was carried out for crystalline ErZrNiIr at its relaxed geometry. Values from VASP.

## Properties
- SG: F-43m, No. 216
- Energy of formation: -2.48 eV per formula unit

Structure (Quantum ESPRESSO input):
```
&SYSTEM
  ibrav = 0, nat = 4, ntyp = 4
/
ATOMIC_SPECIES
Er 167.26 Er.upf
Zr 91.22 Zr.upf
Ni 58.69 Ni.upf
Ir 192.22 Ir.upf
CELL_PARAMETERS angstrom
0.000 3.325 3.325
3.325 0.000 3.325
3.325 3.325 0.000
ATOMIC_POSITIONS crystal
Er 0.000 0.000 0.000
Zr 0.500 0.500 0.500
Ni 0.250 0.250 0.250
Ir 0.750 0.750 0.750
```



Record 16
A plane-wave DFT calculation with PBE was carried out for crystalline PuInCu at its relaxed geometry. Values from VASP.

## Properties
- SG: I4mm, No. 107
- Energy of formation: -0.07 eV per formula unit

Structure (Quantum ESPRESSO input):
```
&SYSTEM
  ibrav = 0, nat = 3, ntyp = 3
/
ATOMIC_SPECIES
Pu 244.00 Pu.upf
In 114.82 In.upf
Cu 63.55 Cu.upf
CELL_PARAMETERS angstrom
-1.590 1.590 6.190
1.590 -1.590 6.190
1.590 1.590 -6.190
ATOMIC_POSITIONS crystal
Pu 0.000 0.000 0.000
In 0.296 0.296 0.000
Cu 0.664 0.664 0.000
```



Record 17
A plane-wave DFT calculation with PBE was carried out for crystalline HgAs3Ir at its relaxed geometry. Values from VASP.

## Properties
- SG: Pm-3m, No. 221
- Energy above the most stable polymorph in this dataset: 0.00 eV/f.u.
- Energy of formation: 2.84 eV per formula unit

Structure (Quantum ESPRESSO input):
```
&SYSTEM
  ibrav = 0, nat = 5, ntyp = 3
/
ATOMIC_SPECIES
Hg 200.59 Hg.upf
As 74.92 As.upf
Ir 192.22 Ir.upf
CELL_PARAMETERS angstrom
4.911 0.000 0.000
0.000 4.911 0.000
0.000 0.000 4.911
ATOMIC_POSITIONS crystal
Hg 0.000 0.000 0.000
As 0.000 0.500 0.500
As 0.500 0.000 0.500
As 0.500 0.500 0.000
Ir 0.500 0.500 0.500
```



Record 18
A plane-wave DFT calculation with PBE was carried out for crystalline K2SiRh at its relaxed geometry. Values from VASP.

## Properties
- SG: F-43m, No. 216
- Uncorrected formation energy: 2.39 eV/f.u.

Structure (Quantum ESPRESSO input):
```
&SYSTEM
  ibrav = 0, nat = 4, ntyp = 3
/
ATOMIC_SPECIES
K 39.10 K.upf
Si 28.09 Si.upf
Rh 102.91 Rh.upf
CELL_PARAMETERS angstrom
0.000 3.577 3.577
3.577 0.000 3.577
3.577 3.577 0.000
ATOMIC_POSITIONS crystal
K 0.000 0.000 0.000
K 0.250 0.250 0.250
Si 0.500 0.500 0.500
Rh 0.750 0.750 0.750
```



Record 19
A plane-wave DFT calculation with PBE was carried out for crystalline RbTaBi3 at its relaxed geometry. Values from VASP.

## Properties
- SG: Pm-3m, No. 221
- Energy above the most stable polymorph in this dataset: 10.40 eV/f.u.
- Energy of formation: 11.29 eV per formula unit

Structure (Quantum ESPRESSO input):
```
&SYSTEM
  ibrav = 0, nat = 5, ntyp = 3
/
ATOMIC_SPECIES
Rb 85.47 Rb.upf
Ta 180.95 Ta.upf
Bi 208.98 Bi.upf
CELL_PARAMETERS angstrom
5.805 0.000 0.000
0.000 5.805 0.000
0.000 0.000 5.805
ATOMIC_POSITIONS crystal
Rb 0.000 0.000 0.000
Ta 0.500 0.500 0.500
Bi 0.000 0.000 0.500
Bi 0.000 0.500 0.000
Bi 0.500 0.000 0.000
```



Record 20
A plane-wave DFT calculation with PBE was carried out for crystalline PH2Ru at its relaxed geometry. Values from VASP.

## Properties
- SG: P4mm, No. 99
- Energy above the most stable polymorph in this dataset: 0.29 eV/f.u.

Structure (Quantum ESPRESSO input):
```
&SYSTEM
  ibrav = 0, nat = 4, ntyp = 3
/
ATOMIC_SPECIES
P 30.97 P.upf
H 1.01 H.upf
Ru 101.07 Ru.upf
CELL_PARAMETERS angstrom
2.873 0.000 0.000
0.000 2.873 0.000
0.000 0.000 5.327
ATOMIC_POSITIONS crystal
P 0.000 0.000 0.000
H 0.000 0.500 0.457
H 0.500 0.000 0.457
Ru 0.500 0.500 0.253
```



| no. | DOS(E_F) (states/eV/f.u.) | magnetic moment (μB/f.u.) | raw total energy (eV/atom) |
| --- | --- | --- | --- |
| 1 | 1.59 | 0.00 | -3.593 |
| 2 | 13.64 | 0.00 | -4.916 |
| 3 | 16.46 | 0.00 | -4.553 |
| 4 | 6.54 | 3.07 | -1.656 |
| 5 | 1.03 | 0.00 | -4.560 |
| 6 | 3.56 | 0.00 | -7.017 |
| 7 | 1.61 | 0.00 | -2.907 |
| 8 | 8.59 | 8.65 | -3.963 |
| 9 | 0.58 | 0.00 | -1.440 |
| 10 | 8.87 | 0.00 | -6.344 |
| 11 | 2.13 | 0.00 | -3.349 |
| 12 | 2.89 | 0.00 | -6.023 |
| 13 | 4.53 | 3.35 | -8.451 |
| 14 | 4.01 | 1.79 | -4.435 |
| 15 | 4.73 | 0.00 | -7.559 |
| 16 | 6.53 | 5.76 | -7.080 |
| 17 | 4.18 | 0.00 | -4.054 |
| 18 | 3.50 | 0.00 | -3.144 |
| 19 | 12.43 | 0.17 | -2.634 |
| 20 | 0.91 | 0.00 | -5.354 |